Entry 1:
This record from the Alexandria database describes a relaxed structure of NaAu. The functional is GGA-PBE.

Lattice parameters (Å, degrees): 7.3632 6.9955 5.9403 68.83 62.37 48.79
With the nearest neighbours (Å) after each atom.
Fractional positions:
Na (0.0739, 0.6761, 0.0739)  6 Au 2.99-3.06
Na (0.3239, 0.9261, 0.3239)  6 Au 2.99-3.06
Na (0.6761, 0.0739, 0.6761)  6 Au 2.99-3.06
Na (0.9261, 0.3239, 0.9261)  6 Au 2.99-3.06
Au (0.1919, 0.5581, 0.5581)  1 Au 2.84, 6 Na 2.99-3.06
Au (0.4419, 0.8081, 0.8081)  1 Au 2.84, 6 Na 2.99-3.06
Au (0.5581, 0.1919, 0.1919)  1 Au 2.84, 6 Na 2.99-3.06
Au (0.8081, 0.4419, 0.4419)  1 Au 2.84, 6 Na 2.99-3.06

Summary:
E_form = -185 meV per atom

---

Entry 2:
This record from the Alexandria database describes a relaxed structure of Ho3Tm5As8. The functional is GGA-PBE.

Lattice parameters (Å, degrees): 8.1523 8.1523 8.1523 60.00 60.00 60.00
With the nearest neighbours (Å) after each atom.
Fractional positions:
Ho (0.0000, 0.5000, 0.5000)  6 As 2.89
Ho (0.5000, 0.0000, 0.5000)  6 As 2.89
Ho (0.5000, 0.5000, 0.0000)  6 As 2.89
Tm (0.0000, 0.0000, 0.0000)  6 As 2.88
Tm (0.0000, 0.0000, 0.5000)  6 As 2.87
Tm (0.0000, 0.5000, 0.0000)  6 As 2.87
Tm (0.5000, 0.0000, 0.0000)  6 As 2.87
Tm (0.5000, 0.5000, 0.5000)  6 As 2.88
As (0.2484, 0.7500, 0.7500)  4 Tm 2.87-2.88, 2 Ho 2.89
As (0.2492, 0.2492, 0.2492)  3 Tm 2.87, 3 Ho 2.89
As (0.2500, 0.2500, 0.7516)  4 Tm 2.87-2.88, 2 Ho 2.89
As (0.2500, 0.7516, 0.2500)  4 Tm 2.87-2.88, 2 Ho 2.89
As (0.7500, 0.2484, 0.7500)  4 Tm 2.87-2.88, 2 Ho 2.89
As (0.7500, 0.7500, 0.2484)  4 Tm 2.87-2.88, 2 Ho 2.89
As (0.7508, 0.7508, 0.7508)  3 Tm 2.87, 3 Ho 2.89
As (0.7516, 0.2500, 0.2500)  4 Tm 2.87-2.88, 2 Ho 2.89

Summary:
E_form = -1514 meV per atom

---

Entry 3:
This record from the Alexandria database describes a relaxed structure of TlHgHRu2. The functional is GGA-PBE.

Lattice parameters (Å, degrees): 5.2074 5.2074 3.3735 90.00 90.00 90.00
With the nearest neighbours (Å) after each atom.
Fractional positions:
Tl (0.0000, 0.0000, 0.0000)  2 H 1.69
Hg (0.5000, 0.5000, 0.5000)  8 Ru 3.10, 2 Hg 3.37
H (0.0000, 0.0000, 0.5000)  2 Tl 1.69
Ru (0.0000, 0.5000, 0.0000)  2 Tl 2.60
Ru (0.5000, 0.0000, 0.0000)  2 Tl 2.60

Summary:
Raw total energy = -3.455 eV/atom

---

Entry 4:
This record from the Alexandria database describes a relaxed structure of LiB4C4. The functional is GGA-PBE.

Lattice parameters (Å, degrees): 7.0202 2.7232 8.9334 90.00 96.60 90.00
With the nearest neighbours (Å) after each atom.
Fractional positions:
Li (0.0117, 0.2500, 0.1600)  5 C 2.28-2.48, 4 B 2.34-2.43
Li (0.9883, 0.7500, 0.8400)  5 C 2.28-2.48, 4 B 2.34-2.43
B (0.2263, 0.2500, 0.9785)  3 C 1.56-1.57
B (0.2902, 0.7500, 0.7324)  3 C 1.56-1.59
B (0.3440, 0.7500, 0.2231)  3 C 1.53-1.58
B (0.3887, 0.2500, 0.4839)  4 C 1.59-1.74
B (0.6113, 0.7500, 0.5161)  4 C 1.59-1.74
B (0.6560, 0.2500, 0.7769)  3 C 1.53-1.58
B (0.7098, 0.2500, 0.2676)  3 C 1.56-1.59
B (0.7737, 0.7500, 0.0215)  3 C 1.56-1.57
C (0.2304, 0.7500, 0.0658)  3 B 1.53-1.57
C (0.2437, 0.2500, 0.8064)  3 B 1.56
C (0.3869, 0.7500, 0.5799)  4 B 1.59-1.74, 1 C 1.72
C (0.3969, 0.2500, 0.3069)  3 B 1.58-1.59, 1 C 1.72
C (0.6031, 0.7500, 0.6931)  3 B 1.58-1.59, 1 C 1.72
C (0.6131, 0.2500, 0.4201)  4 B 1.59-1.74, 1 C 1.72
C (0.7563, 0.7500, 0.1936)  3 B 1.56
C (0.7696, 0.2500, 0.9342)  3 B 1.53-1.57

Summary:
Distance to the lowest polymorph of the same formula = 26 meV/atom
E_form = 115 meV per atom

---

One value per record, in order, for DOS at the Fermi energy: 1.58, 2.97, 6.63, 2.08 states/eV per cell.